No. 1
MoIrAu2 | Alexandria via LeMat-Bulk | PBE | relaxed; calculated volume = 67 Å³ per cell; mass density = 17.03 g/cm3; electronic total energy = -6.51 eV per atom; energy relative to the lowest polymorph listed for this composition = 44 meV/atom; M_tot = 0.00 μB per formula unit
1.0
9.673 -0.017 -0.010
9.261 2.791 -0.010
9.261 1.357 2.439
Au Ir Mo
2 1 1
Direct
0.997 0.997 0.997
0.753 0.753 0.753
0.506 0.506 0.506
0.245 0.245 0.245

No. 2
PrY4Er2 | Alexandria via LeMat-Bulk | PBE | relaxed; calculated volume = 227 Å³ per cell; mass density = 6.07 g/cm3; electronic total energy = -5.65 eV per atom; energy relative to the lowest polymorph listed for this composition = 0 meV/atom; M_tot = 0.00 μB per formula unit
1.0
-0.525 -2.572 2.394
9.204 1.488 -1.653
-4.131 4.162 6.201
Pr Y Er
1 4 2
Direct
0.000 0.000 0.000
0.810 0.170 0.720
0.411 0.706 0.589
0.190 0.830 0.280
0.589 0.294 0.411
0.640 0.569 0.859
0.360 0.431 0.141

No. 3
K2HfMn | Alexandria via LeMat-Bulk | PBE | relaxed; calculated volume = 141 Å³ per cell; mass density = 3.66 g/cm3; electronic total energy = -3.76 eV per atom; energy relative to the lowest polymorph listed for this composition = 225 meV/atom; M_tot = 2.05 μB per formula unit
1.0
4.088 -1.970 3.689
-0.343 1.276 5.697
-1.320 -4.190 3.861
K Mn Hf
2 1 1
Direct
0.250 0.250 0.250
0.750 0.750 0.750
0.000 0.000 0.000
0.500 0.500 0.500

No. 4
Rb2NaRhI6 | Alexandria via LeMat-Bulk | PBE | relaxed; calculated volume = 402 Å³ per cell; formation energy from raw total energies = -871 meV/atom; mass density = 4.37 g/cm3; electronic total energy = -2.86 eV per atom; M_tot = 0.00 μB per formula unit
1.0
8.286 0.000 0.000
0.000 8.286 0.000
4.143 4.143 5.859
I Rh Rb Na
6 1 2 1
Direct
0.231 0.231 0.000
0.769 0.231 0.000
0.231 0.231 0.538
0.769 0.769 0.462
0.231 0.769 0.000
0.769 0.769 0.000
0.000 0.000 0.000
0.250 0.750 0.500
0.750 0.250 0.500
0.500 0.500 0.000